4
Lattice="2.968 0.000 0.000 0.000 2.968 0.000 0.000 0.000 8.078" Properties=species:S:1:pos:R:3 comment="Zr2PaN (GGA-PBE, optimized geometry)" e_form_raw_ev_per_fu=-0.6 magnetic_moment_mub_per_fu=0.0 final_energy_ev_per_atom=-8.888 pbc="T T T"
Zr 0.000 0.000 1.394
Zr 0.000 0.000 6.684
Pa 1.484 1.484 4.039
N 1.484 1.484 0.000